# Pm2BeSi

Crystalline Pm2BeSi at its relaxed geometry (GGA-PBE, Alexandria via LeMat-Bulk).

a b c (Å): 5.013 5.013 5.013
angles (deg): 60.00 60.00 60.00
Sites, in units of the cell vectors:
Pm 0.250 0.250 0.250
Pm 0.750 0.750 0.750
Be 0.000 0.000 0.000
Si 0.500 0.500 0.500

Calculated values
Energy above the lowest structure with this stoichiometry = 0.000 eV/atom
Symmetry = Fm-3m (225)
Uncorrected formation energy = -0.185 eV per atom
V = 22.3 A^3/atom